# 1
Here is an optimized crystal structure of HfBeBi from OQMD via LeMat-Bulk. Energies are from PBE.

abc: 4.685 4.685 4.685
angles: 60.00 60.00 60.00
Sites, in units of the cell vectors:
Hf 0.000 0.000 0.000
Be 0.500 0.500 0.500
Bi 0.750 0.750 0.750

As for the energy above the lowest structure with this stoichiometry: 0.290 eV/atom. The space-group type is F-43m (216). The value obtained for the magnetization is 0.676 Bohr magnetons per cell.



# 2
Here is an optimized crystal structure of Sr2H6PdAu from OQMD via LeMat-Bulk. Energies are from PBE.

abc: 5.490 5.490 5.490
angles: 60.00 60.00 60.00
Sites, in units of the cell vectors:
Sr 0.250 0.250 0.250
Sr 0.750 0.750 0.750
H 0.237 0.237 0.763
H 0.237 0.763 0.237
H 0.237 0.763 0.763
H 0.763 0.237 0.237
H 0.763 0.237 0.763
H 0.763 0.763 0.237
Pd 0.000 0.000 0.000
Au 0.500 0.500 0.500

The space-group type is Fm-3m (225). As for the calculated total energy: -3.6187 eV per atom.



# 3
Here is an optimized crystal structure of ZnCoCuAs from OQMD via LeMat-Bulk. Energies are from PBE.

abc: 4.209 4.209 4.209
angles: 60.00 60.00 60.00
Sites, in units of the cell vectors:
Zn 0.000 0.000 0.000
Co 0.500 0.500 0.500
Cu 0.750 0.750 0.750
As 0.250 0.250 0.250

As for the energy above the lowest structure with this stoichiometry: 0.099 eV/atom. The space-group type is F-43m (216). The value obtained for the magnetization is 0.029 Bohr magnetons per cell.



Which formula does entry 2 have? Sr2H6PdAu